# TeMo2

An optimized crystal structure of TeMo2 (PBE-GGA, Alexandria via LeMat-Bulk). Values from VASP.

The structure in Quantum ESPRESSO input format:
```
&SYSTEM
  ibrav = 0, nat = 12, ntyp = 2
/
ATOMIC_SPECIES
Te 127.60 Te.upf
Mo 95.94 Mo.upf
ATOMIC_POSITIONS angstrom
Te 0.0000 0.0000 0.0000
Te 3.1912 0.0000 3.1912
Te 3.1912 3.1912 0.0000
Te 0.0000 3.1912 3.1912
Mo 5.7171 0.6653 2.5259
Mo 2.5259 0.6653 0.6653
Mo 0.6653 3.8565 0.6653
Mo 3.8565 5.7171 5.7171
Mo 0.6653 5.7171 3.8565
Mo 3.8565 3.8565 2.5259
Mo 5.7171 2.5259 5.7171
Mo 2.5259 2.5259 3.8565
CELL_PARAMETERS angstrom
6.3824 0.0000 0.0000
0.0000 6.3824 0.0000
0.0000 0.0000 6.3824
```

Results
**SG**: Pa-3, No. 205
**Energy relative to the elements, uncorrected**: 93.9 kJ/mol of atoms
**D(E_F)**: 1.574 states/eV per atom